Compound: HfTl4Te5
Source: Alexandria
Functional: PBE
Structure: relaxed

Lattice parameters (Å, degrees): 6.7358 7.9495 7.9495 79.66 64.93 64.93
Positions (direct):
Hf 0.0711 0.0000 0.0000
Tl 0.3979 0.4006 0.7862
Tl 0.7986 0.7862 0.5994
Tl 0.1842 0.2138 0.4006
Tl 0.5848 0.5994 0.2138
Te 0.9019 0.3546 0.8369
Te 0.2566 0.8369 0.6454
Te 0.7388 0.1631 0.3546
Te 0.0935 0.6454 0.1631
Te 0.4829 0.0000 0.0000

Properties
Raw formation energy (meV per atom): -374.3

=====

Compound: Zr2MnAgC
Source: Alexandria
Functional: PBE
Structure: relaxed

Lattice parameters (Å, degrees): 4.6549 4.6549 3.7234 90.00 90.00 90.00
Each line ends with the local moment (μB).
Positions (direct):
C 0.0000 0.0000 0.0000  -0.01
Mn 0.0000 0.0000 0.5000  0.24
Zr 0.0000 0.5000 0.0000  -0.04
Zr 0.5000 0.0000 0.0000  -0.04
Ag 0.5000 0.5000 0.5000  0.00

Properties
Raw total energy (eV for the cell shown): -39.7

=====

Compound: SrTi3O
Source: Alexandria
Functional: PBE
Structure: relaxed

Lattice parameters (Å, degrees): 4.7479 4.7479 4.7479 90.00 90.00 90.00
Each line ends with the local moment (μB).
Positions (direct):
Sr 0.0000 0.0000 0.0000  -0.02
O 0.5000 0.5000 0.5000  -0.07
Ti 0.0000 0.5000 0.0000  0.38
Ti 0.0000 0.0000 0.5000  0.28
Ti 0.5000 0.0000 0.0000  0.52

Properties
Raw formation energy (meV per atom): 2337.0
Energy relative to the lowest polymorph listed for this composition (eV per atom): 2.7249

=====

Compound: Sm2BHPt6
Source: Alexandria
Functional: PBE
Structure: relaxed

Lattice parameters (Å, degrees): 5.8684 6.3252 6.3672 124.93 117.38 89.85
Positions (direct):
Sm 0.7320 0.2712 0.4636
Sm 0.2523 0.7440 0.5029
B 0.9961 0.0071 0.9931
H 0.5784 0.4215 0.1617
Pt 0.7501 0.7528 0.9988
Pt 0.7400 0.7869 0.4781
Pt 0.2123 0.2577 0.9500
Pt 0.7377 0.2590 0.9516
Pt 0.2501 0.2509 0.4996
Pt 0.2499 0.7529 0.9984

Properties
Raw total energy (eV for the cell shown): -63.5

=====

Compound: PrNdErSc
Source: Alexandria
Functional: PBE
Structure: relaxed

Lattice parameters (Å, degrees): 5.6318 5.6318 5.6318 60.00 60.00 60.00
Positions (direct):
Pr 0.5000 0.5000 0.5000
Sc 0.2500 0.2500 0.2500
Nd 0.0000 0.0000 0.0000
Er 0.7500 0.7500 0.7500

Properties
Energy relative to the lowest polymorph listed for this composition (eV per atom): 0.0000

=====

Compound: Sr2Cd4Ga3Sn
Source: Alexandria
Functional: PBE
Structure: relaxed

Lattice parameters (Å, degrees): 4.6495 4.6495 11.8352 90.00 90.00 90.00
Positions (direct):
Sr 0.5000 0.0000 0.2434
Sr 0.0000 0.5000 0.7566
Cd 0.5000 0.5000 0.0000
Cd 0.0000 0.0000 0.0000
Cd 0.5000 0.0000 0.6455
Cd 0.0000 0.5000 0.3545
Ga 0.0000 0.0000 0.5000
Ga 0.5000 0.0000 0.8685
Ga 0.0000 0.5000 0.1315
Sn 0.5000 0.5000 0.5000

Properties
Raw total energy (eV for the cell shown): -23.2

=====

Compound: Pr6GaSe3S2
Source: Alexandria
Functional: PBE
Structure: relaxed

Lattice parameters (Å, degrees): 4.1699 8.5821 9.5234 104.02 102.65 90.00
Positions (direct):
Pr 0.3357 0.9095 0.6713
Pr 0.6694 0.5721 0.3388
Pr 0.6643 0.0905 0.3287
Pr 0.0034 0.2501 0.0068
Pr 0.9966 0.7499 0.9932
Pr 0.3306 0.4279 0.6612
Ga 0.5000 0.0000 0.0000
Se 0.5000 0.5000 0.0000
Se 0.8330 0.1703 0.6659
Se 0.1670 0.8297 0.3341
S 0.8314 0.6659 0.6628
S 0.1686 0.3341 0.3372

Properties
Raw formation energy (meV per atom): -1696.5

=====

Compound: Mg2PaBi
Source: Alexandria
Functional: PBE
Structure: relaxed

Lattice parameters (Å, degrees): 3.2436 3.2436 12.0718 82.28 82.28 60.00
Each line ends with the local moment (μB).
Positions (direct):
Mg 0.0889 0.0889 0.7334  0.01
Mg 0.9111 0.9111 0.2666  0.01
Pa 0.0000 0.0000 0.0000  0.68
Bi 0.5000 0.5000 0.5000  0.01

Properties
Energy relative to the lowest polymorph listed for this composition (eV per atom): 0.1855

=====

Compound: CeSmDy5Ho2
Source: Alexandria
Functional: PBE
Structure: relaxed

Lattice parameters (Å, degrees): 5.6902 11.0940 9.5634 90.00 90.00 104.86
Each line ends with the local moment (μB).
Positions (direct):
Ce 0.8069 0.6139 0.5221  0.59
Ce 0.1931 0.3861 0.0221  0.59
Sm 0.5968 0.1936 0.9245  -0.02
Sm 0.4032 0.8064 0.4245  -0.02
Dy 0.3939 0.7878 0.0416  -0.01
Dy 0.7331 0.4663 0.8327  0.03
Dy 0.4710 0.9420 0.7463  -0.03
Dy 0.3061 0.6121 0.7146  0.04
Dy 0.9869 0.9739 0.5139  -0.01
Dy 0.6061 0.2122 0.5416  -0.01
Dy 0.2669 0.5337 0.3327  0.03
Dy 0.5290 0.0580 0.2463  -0.03
Dy 0.6939 0.3879 0.2146  0.04
Dy 0.0131 0.0261 0.0139  -0.01
Ho 0.8866 0.7732 0.8225  0.01
Ho 0.1352 0.2705 0.7058  0.02
Ho 0.1134 0.2268 0.3225  0.01
Ho 0.8648 0.7295 0.2058  0.02

Properties
Raw total energy (eV for the cell shown): -82.5

=====

Compound: Y6P10Ru
Source: Alexandria
Functional: PBE
Structure: relaxed

Lattice parameters (Å, degrees): 8.9185 6.2484 7.9994 67.56 64.01 67.03
Positions (direct):
Y 0.8374 0.3356 0.5302
Y 0.1626 0.6644 0.4698
Y 0.3722 0.8073 0.7381
Y 0.6278 0.1927 0.2619
Y 0.7236 0.8376 0.9504
Y 0.2764 0.1624 0.0496
Ru 0.0000 0.0000 0.0000
P 0.0700 0.6459 0.8867
P 0.9300 0.3541 0.1133
P 0.9108 0.7497 0.2954
P 0.0892 0.2503 0.7046
P 0.2146 0.1430 0.4296
P 0.7854 0.8570 0.5704
P 0.4571 0.8388 0.3535
P 0.5429 0.1612 0.6465
P 0.4513 0.6329 0.0950
P 0.5487 0.3671 0.9050

Properties
Raw total energy (eV for the cell shown): -117.5

=====

Compound: MgCuO2
Source: Alexandria
Functional: PBE
Structure: relaxed

Lattice parameters (Å, degrees): 5.6290 5.6290 5.6290 137.87 137.87 61.10
Positions (direct):
Mg 0.2500 0.7500 0.5000
Mg 0.5000 0.5000 0.0000
Cu 0.0000 0.0000 0.0000
Cu 0.7500 0.2500 0.5000
O 0.7306 0.7306 0.0000
O 0.2694 0.2694 0.0000
O 0.4806 0.9806 0.5000
O 0.0194 0.5194 0.5000

Properties
Raw formation energy (meV per atom): -1571.8

=====

Compound: CeAl3Rh4
Source: Alexandria
Functional: PBE
Structure: relaxed

Lattice parameters (Å, degrees): 4.2624 4.2624 8.5027 75.48 75.48 60.00
Each line ends with the local moment (μB).
Positions (direct):
Rh 0.8690 0.8690 0.3929  0.02
Rh 0.3974 0.3974 0.8078  -0.01
Rh 0.1310 0.1310 0.6071  0.02
Rh 0.6026 0.6026 0.1922  -0.01
Al 0.2378 0.2378 0.2866  0.00
Al 0.7622 0.7622 0.7134  0.00
Al 0.5000 0.5000 0.5000  0.00
Ce 0.0000 0.0000 0.0000  0.41

Properties
Raw total energy (eV for the cell shown): -54.0

=====

Number 1: DOS at the Fermi energy 0.654 states/eV/atom, size of the total moment 0.00 μB/cell. Number 2: DOS at the Fermi energy 0.572 states/eV/atom, size of the total moment 0.12 μB/cell. Number 3: DOS at the Fermi energy 1.273 states/eV/atom, size of the total moment 1.42 μB/cell. Number 4: DOS at the Fermi energy 0.214 states/eV/atom, size of the total moment 0.00 μB/cell. Number 5: DOS at the Fermi energy 1.603 states/eV/atom, size of the total moment 0.00 μB/cell. Number 6: DOS at the Fermi energy 0.454 states/eV/atom, size of the total moment 0.00 μB/cell. Number 7: DOS at the Fermi energy 0.426 states/eV/atom, size of the total moment 0.00 μB/cell. Number 8: DOS at the Fermi energy 1.302 states/eV/atom, size of the total moment 0.94 μB/cell. Number 9: DOS at the Fermi energy 1.747 states/eV/atom, size of the total moment 1.45 μB/cell. Number 10: DOS at the Fermi energy 0.139 states/eV/atom, size of the total moment 0.00 μB/cell. Number 11: DOS at the Fermi energy 0.439 states/eV/atom, size of the total moment 0.00 μB/cell. Number 12: DOS at the Fermi energy 0.775 states/eV/atom, size of the total moment 0.55 μB/cell.